Compound: CrNi7Pt4
Source: the Alexandria database
Functional: GGA-PBE
Structure: relaxed

Computed properties:
E_tot: -5.994 eV/atom
space-group type: C2/m, No. 12
ΔH_f (0 K): 194 meV/atom

abc: 4.372 8.582 4.984
angles: 89.32 63.99 75.24
Site moments in Bohr magnetons follow the coordinates.
Fractional coordinates of all 12 atoms:
Cr  0.000  0.000  0.000  2.40
Ni  0.802  0.917  0.479  0.25
Ni  0.198  0.083  0.521  0.25
Ni  0.034  0.619  0.313  0.64
Ni  0.966  0.381  0.687  0.64
Ni  0.347  0.524  0.782  0.62
Ni  0.500  0.000  0.000  -0.02
Ni  0.653  0.476  0.218  0.62
Pt  0.642  0.227  0.488  0.19
Pt  0.358  0.773  0.512  0.19
Pt  0.709  0.698  0.884  0.20
Pt  0.291  0.302  0.116  0.20

---

Compound: CdSb3Pb12
Source: the Alexandria database
Functional: GGA-PBE
Structure: relaxed

Computed properties:
E_tot: -3.571 eV/atom
raw formation energy: 0.04 eV/atom
space-group type: P4/mmm, No. 123

abc: 4.997 4.997 19.624
angles: 90.00 90.00 90.00
Fractional coordinates of all 16 atoms:
Cd  0.000  0.000  0.000
Sb  0.000  0.000  0.251
Sb  0.000  0.000  0.500
Sb  0.000  0.000  0.749
Pb  0.500  0.500  0.000
Pb  0.500  0.500  0.248
Pb  0.500  0.500  0.500
Pb  0.500  0.500  0.752
Pb  0.500  0.000  0.123
Pb  0.500  0.000  0.375
Pb  0.500  0.000  0.625
Pb  0.500  0.000  0.877
Pb  0.000  0.500  0.123
Pb  0.000  0.500  0.375
Pb  0.000  0.500  0.625
Pb  0.000  0.500  0.877

---

Compound: Nb2FePt9
Source: the Alexandria database
Functional: GGA-PBE
Structure: relaxed

Computed properties:
E_tot: -7.398 eV/atom
space-group type: P4/mmm, No. 123
ΔH_f (0 K): -484 meV/atom

abc: 3.994 3.994 11.837
angles: 89.97 89.98 90.00
Site moments in Bohr magnetons follow the coordinates.
Fractional coordinates of all 12 atoms:
Nb  0.000  0.000  0.326  -0.06
Nb  0.000  0.000  0.674  -0.06
Fe  0.000  0.000  0.000  3.27
Pt  0.500  0.500  0.000  0.26
Pt  0.500  0.500  0.334  0.03
Pt  0.500  0.500  0.666  0.03
Pt  0.500  0.000  0.166  0.11
Pt  0.500  0.000  0.500  0.01
Pt  0.500  0.000  0.834  0.11
Pt  0.000  0.500  0.166  0.11
Pt  0.000  0.500  0.500  0.01
Pt  0.000  0.500  0.834  0.11